[1]
# PmThHgAu

PmThHgAu after structural relaxation (GGA-PBE, Alexandria via LeMat-Bulk).

The formation energy from the elements is -0.465 eV per atom. The energy is -70.44 eV per cell. The calculation puts the theoretical density at 12.09 g cm⁻³. The crystal system is cubic. The density of states at the Fermi level is 16.23 states/eV/cell.

Unit cell a=7.5227 b=7.5227 c=7.5227 alpha=90.00 beta=90.00 gamma=90.00
Closest atoms and distances in Å follow each position.
Space group F-43m (No. 216)
Inequivalent atoms, fractional coordinates:
Pm 0.0000 0.0000 0.0000 [4 per cell]  4 Au 3.26, 4 Hg 3.26
Th 0.0000 0.0000 0.5000 [4 per cell]  4 Hg 3.26, 4 Au 3.26
Hg 0.2500 0.2500 0.7500 [4 per cell]  4 Th 3.26, 4 Pm 3.26
Au 0.2500 0.2500 0.2500 [4 per cell]  4 Th 3.26, 4 Pm 3.26

[2]
# RuPt2RhS

RuPt2RhS after structural relaxation (GGA-PBE, Alexandria via LeMat-Bulk).

The energy is -29.36 eV per cell. The calculation puts the theoretical density at 11.92 g cm⁻³. As for the formation energy (no corrections): 3.5 eV/f.u. The crystal system is tetragonal. The density of states at the Fermi level is 7.19 states/eV/cell.

Unit cell a=4.4862 b=4.4862 c=4.3353 alpha=90.00 beta=90.00 gamma=90.00
Closest atoms and distances in Å follow each position.
Space group P4/mmm (No. 123)
Inequivalent atoms, fractional coordinates:
Ru 0.0000 0.0000 0.0000 [1 per cell]  8 Pt 3.12, 4 Rh 3.17
Pt 0.0000 0.5000 0.5000 [2 per cell]  2 S 2.24
Rh 0.5000 0.5000 0.0000 [1 per cell]  2 S 2.17
S 0.5000 0.5000 0.5000 [1 per cell]  2 Rh 2.17, 4 Pt 2.24

[3]
# FeCuPt2

FeCuPt2 after structural relaxation (GGA-PBE, Alexandria via LeMat-Bulk).

The formation energy from the elements is 0.004 eV per atom. The energy is -98.50 eV per cell. The calculation puts the theoretical density at 14.67 g cm⁻³. The crystal system is cubic. The density of states at the Fermi level is 16.22 states/eV/cell.

Unit cell a=6.1334 b=6.1334 c=6.1334 alpha=90.00 beta=90.00 gamma=90.00
Closest atoms and distances in Å follow each position.
Space group F-43m (No. 216)
Inequivalent atoms, fractional coordinates:
Fe 0.0000 0.0000 0.0000 [4 per cell]  4 Cu 2.66, 4 Pt 2.66
Cu 0.2500 0.2500 0.2500 [4 per cell]  4 Pt 2.66, 4 Fe 2.66
Pt 0.0000 0.0000 0.5000 [4 per cell]  4 Pt 2.66, 4 Cu 2.66
Pt 0.2500 0.2500 0.7500 [4 per cell]  4 Fe 2.66, 4 Pt 2.66